[1]
Material: SnBSb2
Method: DFT, meta-GGA SCAN
State: PBEsol geometry

Calculated values
Calculated total energy ... -29.030 eV/atom
Offset from the most stable computed form ... 0.0 kJ per mole of atoms
Formation energy (no corrections) ... 437.9 meV/atom

a b c (Å): 6.416 6.416 9.601
angles (deg): 90.00 90.00 90.00
Space group I-42d (No. 122)
Asymmetric unit:
Sn (0.000, 0.000, 0.000) x4
B (0.000, 0.000, 0.500) x4
Sb (0.168, 0.750, 0.625) x8

[2]
Material: KLaCo2
Method: DFT, meta-GGA SCAN
State: PBEsol geometry

Calculated values
Calculated total energy ... -20.652 eV/atom
Offset from the most stable computed form ... 27.1 kJ per mole of atoms
Energy relative to the elements ... 0.8586 eV per atom

a b c (Å): 5.149 5.573 6.624
angles (deg): 90.00 90.00 90.00
Space group Immm (No. 71)
Asymmetric unit:
K (0.000, 0.000, 0.000) x2
La (0.000, 0.000, 0.500) x2
Co (0.000, 0.500, 0.167) x4

[3]
Material: NiBrCl
Method: DFT, meta-GGA SCAN
State: PBEsol geometry

Calculated values
Calculated total energy ... -13.805 eV/atom
Offset from the most stable computed form ... 155.3 kJ per mole of atoms
Formation energy (no corrections) ... 731.6 meV/atom

a b c (Å): 6.405 6.405 6.405
angles (deg): 90.00 90.00 90.00
Space group F-43m (No. 216)
Asymmetric unit:
Ni (0.000, 0.000, 0.000) x4
Br (0.250, 0.250, 0.250) x4
Cl (0.000, 0.000, 0.500) x4

[4]
Material: ZrAu2F
Method: DFT, meta-GGA SCAN
State: PBEsol geometry

Calculated values
Calculated total energy ... -43.935 eV/atom
Formation energy (no corrections) ... -797.2 meV/atom

a b c (Å): 6.467 6.467 6.467
angles (deg): 90.00 90.00 90.00
Space group Fm-3m (No. 225)
Asymmetric unit:
Zr (0.000, 0.000, 0.000) x4
Au (0.250, 0.250, 0.250) x8
F (0.000, 0.000, 0.500) x4

[5]
Material: KHgAs
Method: DFT, meta-GGA SCAN
State: PBEsol geometry

Calculated values
Calculated total energy ... -32.716 eV/atom
Energy relative to the elements ... -0.4874 eV per atom

a b c (Å): 4.5223 4.5223 9.8851
angles (deg): 90.00 90.00 120.00
Space group P6_3/mmc (No. 194)
Asymmetric unit:
K (0.0000, 0.0000, 0.0000) x2
Hg (0.3333, 0.6667, 0.2500) x2
As (0.3333, 0.6667, 0.7500) x2

[6]
Material: LiLaTl
Method: DFT, meta-GGA SCAN
State: PBEsol geometry

Calculated values
Calculated total energy ... -39.605 eV/atom
Offset from the most stable computed form ... 14.9 kJ per mole of atoms
Energy relative to the elements ... -0.3205 eV per atom

a b c (Å): 3.322 4.947 9.490
angles (deg): 90.00 90.00 90.00
Space group Imm2 (No. 44)
Asymmetric unit:
Li (0.000, 0.000, 0.000) x2
La (0.000, 0.000, 0.324) x2
Tl (0.000, 0.000, 0.664) x2

[7]
Material: YMnCr2Se
Method: DFT, meta-GGA SCAN
State: PBEsol geometry

Calculated values
Calculated total energy ... -20.404 eV/atom
Formation energy (no corrections) ... 185.0 meV/atom

a b c (Å): 4.410 4.410 4.622
angles (deg): 90.00 90.00 90.00
Space group P4/mmm (No. 123)
Asymmetric unit:
Y (0.000, 0.000, 0.000) x1
Mn (0.500, 0.500, 0.500) x1
Cr (0.000, 0.500, 0.500) x2
Se (0.500, 0.500, 0.000) x1

[8]
Material: TlCr2Cl
Method: DFT, meta-GGA SCAN
State: PBEsol geometry

Calculated values
Calculated total energy ... -29.244 eV/atom
Offset from the most stable computed form ... 0.0 kJ per mole of atoms
Formation energy (no corrections) ... 32.7 meV/atom

a b c (Å): 3.373 5.645 8.299
angles (deg): 90.00 90.00 90.00
Space group Cmmm (No. 65)
Asymmetric unit:
Tl (0.000, 0.000, 0.000) x2
Cr (0.000, 0.500, 0.266) x4
Cl (0.000, 0.000, 0.500) x2

[9]
Material: MgNbAlSi2
Method: DFT, meta-GGA SCAN
State: PBEsol geometry

Calculated values
Calculated total energy ... -12.176 eV/atom
Formation energy (no corrections) ... 1001.1 meV/atom

a b c (Å): 4.635 4.635 4.757
angles (deg): 90.00 90.00 90.00
Space group P4/mmm (No. 123)
Asymmetric unit:
Mg (0.000, 0.000, 0.000) x1
Nb (0.500, 0.500, 0.000) x1
Al (0.500, 0.500, 0.500) x1
Si (0.000, 0.500, 0.500) x2

[10]
Material: CoIr2Rh
Method: DFT, meta-GGA SCAN
State: PBEsol geometry

Calculated values
Calculated total energy ... -48.278 eV/atom
Offset from the most stable computed form ... 6.7 kJ per mole of atoms
Energy relative to the elements ... 0.0403 eV per atom

a b c (Å): 5.296 7.423 2.656
angles (deg): 90.00 90.00 90.00
Space group Cmmm (No. 65)
Asymmetric unit:
Co (0.000, 0.000, 0.000) x2
Ir (0.250, 0.250, 0.500) x4
Rh (0.000, 0.500, 0.000) x2

[11]
Material: Ta2Ir2Au
Method: DFT, meta-GGA SCAN
State: PBEsol geometry

Calculated values
Calculated total energy ... -69.449 eV/atom
Energy relative to the elements ... -0.5451 eV per atom

a b c (Å): 7.556 7.556 2.906
angles (deg): 90.00 90.00 90.00
Space group P4/mbm (No. 127)
Asymmetric unit:
Ta (0.164, 0.336, 0.000) x4
Ir (0.132, 0.632, 0.500) x4
Au (0.000, 0.000, 0.500) x2

[12]
Material: YP
Method: DFT, meta-GGA SCAN
State: PBEsol geometry

Calculated values
Calculated total energy ... -20.360 eV/atom
Energy relative to the elements ... -1.2391 eV per atom

a b c (Å): 3.428 3.428 3.428
angles (deg): 90.00 90.00 90.00
Space group Pm-3m (No. 221)
Asymmetric unit:
Y (0.000, 0.000, 0.000) x1
P (0.500, 0.500, 0.500) x1

What is the calculated total energy in the fourth record? -43.935 eV/atom

Which formula does entry 9 have? MgNbAlSi2